## TbDyThZr (PBE-GGA)

Data for TbDyThZr after structural relaxation.

formation energy from the elements = 0.1760 eV/atom

CIF file:
```
data_TbDyThZr
_chemical_formula_sum 'Tb4 Dy4 Th4 Zr4'
_symmetry_space_group_name_H-M 'F -4 3 m'
_symmetry_Int_Tables_number 216
_symmetry_space_group_name_Hall 'F -4 2 3'
_cell_length_a 7.754
_cell_length_b 7.754
_cell_length_c 7.754
_cell_angle_alpha 90.00
_cell_angle_beta 90.00
_cell_angle_gamma 90.00
loop_
_atom_site_label
_atom_site_type_symbol
_atom_site_fract_x
_atom_site_fract_y
_atom_site_fract_z
Tb1 Tb 0.000 0.000 0.000
Dy1 Dy 0.250 0.250 0.750
Th1 Th 0.000 0.000 0.500
Zr1 Zr 0.250 0.250 0.250
```